# YCdS2N

A relaxed structure of YCdS2N (GGA-PBEsol, Alexandria via LeMat-Bulk).

Properties
Volume = 99 Å³/f.u.
Energy relative to the lowest polymorph listed for this composition = 14 meV/atom
Density of states at the Fermi level = 2.02 states/eV/cell
Total magnetic moment = 1.37 μB per cell

Cell lengths 4.922, 4.922, 4.080 Å; angles 90.00, 90.00, 90.00 degrees
Fractional coordinates of all 5 atoms:
Y1 0.000 0.000 0.000
Cd1 0.500 0.500 0.500
S1 0.000 0.500 0.500
S2 0.500 0.000 0.500
N1 0.500 0.500 0.000


# LiAl3C

A relaxed structure of LiAl3C (GGA-PBEsol, Alexandria via LeMat-Bulk).

Properties
Volume = 68 Å³/f.u.
Formation energy = 1.7 eV per formula unit
Density of states at the Fermi level = 1.14 states/eV/cell
Total magnetic moment = 0.00 μB per cell

Cell lengths 4.087, 4.087, 4.087 Å; angles 90.00, 90.00, 90.00 degrees
Fractional coordinates of all 5 atoms:
Li1 0.000 0.000 0.000
Al1 0.000 0.500 0.500
Al2 0.500 0.000 0.500
Al3 0.500 0.500 0.000
C1 0.500 0.500 0.500


# Ag2TeO4

A relaxed structure of Ag2TeO4 (GGA-PBEsol, Alexandria via LeMat-Bulk).

Properties
Volume = 94 Å³/f.u.
Energy relative to the lowest polymorph listed for this composition = 0 meV/atom
Density of states at the Fermi level = 10.38 states/eV/cell
Total magnetic moment = 0.00 μB per cell

Cell lengths 6.440, 6.440, 13.628 Å; angles 90.73, 90.73, 92.26 degrees
Fractional coordinates of all 42 atoms:
Ag1 0.035 0.965 0.750
Ag2 0.212 0.514 0.428
Ag3 0.267 0.375 0.676
Ag4 0.280 0.720 0.250
Ag5 0.375 0.267 0.176
Ag6 0.486 0.788 0.072
Ag7 0.514 0.212 0.928
Ag8 0.625 0.733 0.824
Ag9 0.720 0.280 0.750
Ag10 0.733 0.625 0.324
Ag11 0.788 0.486 0.572
Ag12 0.965 0.035 0.250
Te1 0.000 0.000 0.000
Te2 0.000 0.000 0.500
Te3 0.089 0.500 0.895
Te4 0.500 0.089 0.395
Te5 0.500 0.911 0.605
Te6 0.911 0.500 0.105
O1 0.042 0.194 0.889
O2 0.050 0.478 0.229
O3 0.053 0.281 0.546
O4 0.117 0.805 0.901
O5 0.183 0.490 0.035
O6 0.194 0.042 0.389
O7 0.195 0.883 0.599
O8 0.281 0.053 0.046
O9 0.363 0.472 0.848
O10 0.472 0.363 0.348
O11 0.478 0.050 0.729
O12 0.490 0.183 0.535
O13 0.510 0.817 0.465
O14 0.522 0.950 0.271
O15 0.528 0.637 0.652
O16 0.637 0.528 0.152
O17 0.719 0.947 0.954
O18 0.805 0.117 0.401
O19 0.806 0.958 0.611
O20 0.817 0.510 0.965
O21 0.883 0.195 0.099
O22 0.947 0.719 0.454
O23 0.950 0.522 0.771
O24 0.958 0.806 0.111


# Ba2Li3TaN4

A relaxed structure of Ba2Li3TaN4 (GGA-PBEsol, Alexandria via LeMat-Bulk).

Properties
Volume = 152 Å³/f.u.
Density of states at the Fermi level = 0.00 states/eV/cell
Total magnetic moment = 0.00 μB per cell
DFT total energy = -6.63 eV per atom

Cell lengths 6.280, 6.280, 10.984 Å; angles 115.63, 115.63, 53.15 degrees
Fractional coordinates of all 20 atoms:
Ba1 0.058 0.633 0.887
Ba2 0.367 0.942 0.613
Ba3 0.633 0.058 0.387
Ba4 0.942 0.367 0.113
Li1 0.126 0.527 0.462
Li2 0.379 0.621 0.750
Li3 0.473 0.874 0.038
Li4 0.527 0.126 0.962
Li5 0.621 0.379 0.250
Li6 0.874 0.473 0.538
Ta1 0.140 0.860 0.250
Ta2 0.860 0.140 0.750
N1 0.071 0.208 0.386
N2 0.208 0.071 0.886
N3 0.269 0.580 0.340
N4 0.420 0.731 0.160
N5 0.580 0.269 0.840
N6 0.731 0.420 0.660
N7 0.792 0.929 0.114
N8 0.929 0.792 0.614


# MnFe2Pb

A relaxed structure of MnFe2Pb (GGA-PBEsol, Alexandria via LeMat-Bulk).

Properties
Volume = 57 Å³/f.u.
Formation energy = 2.0 eV per formula unit
Density of states at the Fermi level = 3.11 states/eV/cell
Total magnetic moment = 7.44 μB per cell

Cell lengths 4.873, 4.873, 4.873 Å; angles 139.98, 129.32, 66.45 degrees
Fractional coordinates of all 4 atoms:
Mn1 0.000 0.000 0.000
Fe1 0.238 0.738 0.500
Fe2 0.762 0.262 0.500
Pb1 0.500 0.500 0.000


# TiBiSb2I

A relaxed structure of TiBiSb2I (GGA-PBEsol, Alexandria via LeMat-Bulk).

Properties
Volume = 148 Å³/f.u.
Density of states at the Fermi level = 4.29 states/eV/cell
Total magnetic moment = 0.00 μB per cell
DFT total energy = -4.50 eV per atom

Cell lengths 5.377, 5.377, 5.102 Å; angles 90.00, 90.00, 90.00 degrees
Fractional coordinates of all 5 atoms:
Ti1 0.000 0.000 0.000
Bi1 0.500 0.500 0.500
Sb1 0.000 0.500 0.000
Sb2 0.500 0.000 0.000
I1 0.000 0.000 0.500